Density functional theory data (PBE) for TaPd3Au4 after structural relaxation.

Output
Energy above the lowest structure with this stoichiometry = 0.000 eV per atom
Calculated formation energy = -159 meV per atom
Space-group type = No. 2
Magnetization = 0.0 μB per cell

Structure (POSCAR):
```
TaPd3Au4
1.0
-2.881 -2.717 2.990
-1.008 -0.976 -4.846
5.880 -2.327 0.937
Au Pd Ta
4 3 1
direct
0.746 0.246 0.493
0.254 0.754 0.507
0.376 0.377 0.753
0.624 0.623 0.247
0.000 0.500 0.000
0.881 0.881 0.762
0.119 0.119 0.238
0.500 0.000 0.000
```